Record 1
Computed, not measured: a relaxed structure of BaLiPu2O8 at the PBE-GGA level of DFT.

## Properties
E ... -101.3 eV/cell
Raw formation energy ... -2432 meV per atom
N(E_F) ... 0.333 states/eV/atom
SG ... P-1, No. 2

a = 5.328 Å, b = 5.337 Å, c = 6.970 Å
α = 89.80°, β = 89.80°, γ = 85.30°
Site moments in Bohr magnetons follow the coordinates.
Sites, in units of the cell vectors:
O 0.239 0.759 0.775  -0.10
O 0.761 0.241 0.225  -0.10
O 0.341 0.339 0.498  -0.10
O 0.664 0.666 0.001  -0.13
O 0.336 0.334 0.999  -0.13
O 0.659 0.661 0.502  -0.10
O 0.239 0.759 0.225  -0.10
O 0.761 0.241 0.775  -0.10
Li 0.000 0.000 0.000  0.00
Ba 0.000 0.000 0.500  -0.01
Pu 0.500 0.500 0.758  1.98
Pu 0.500 0.500 0.242  1.98

Record 2
Computed, not measured: a relaxed structure of K12Au6Br at the PBE-GGA level of DFT.

## Properties
E ... -40.8 eV/cell
Raw formation energy ... -330 meV per atom
N(E_F) ... 0.606 states/eV/atom
SG ... Im-3, No. 204

a = 10.160 Å, b = 10.160 Å, c = 10.160 Å
α = 109.47°, β = 109.47°, γ = 109.47°
Sites, in units of the cell vectors:
Au 0.621 0.500 0.121
Au 0.379 0.500 0.879
Au 0.500 0.121 0.621
Au 0.121 0.621 0.500
Au 0.879 0.379 0.500
Au 0.500 0.879 0.379
K 0.127 0.820 0.307
K 0.180 0.693 0.873
K 0.180 0.307 0.486
K 0.514 0.820 0.693
K 0.873 0.180 0.693
K 0.486 0.180 0.307
K 0.307 0.127 0.820
K 0.820 0.693 0.514
K 0.693 0.514 0.820
K 0.307 0.486 0.180
K 0.693 0.873 0.180
K 0.820 0.307 0.127
Br 0.000 0.000 0.000

Among the records above, which one has the lowest raw formation energy? BaLiPu2O8